1.
Here is a relaxed Ba6Pb3O crystal from the Alexandria database. Energies are from PBE.

The structure in extended XYZ format:
```
20
Lattice="7.7026 0.0000 0.0000 0.0000 9.4507 0.0000 -6.3913 0.0000 11.5029" Properties=species:S:1:pos:R:3 pbc="T T T"
Ba -0.6835 0.4217 2.5530
Ba -3.8792 4.3036 8.3044
Ba 1.1053 6.6807 0.7304
Ba -2.0903 7.4954 6.4819
Ba 2.4647 1.4605 0.5757
Ba -0.7309 3.2648 6.3272
Ba 2.0423 6.1859 5.1757
Ba -1.1534 7.9902 10.9272
Ba 3.4017 1.9553 5.0210
Ba 0.2061 2.7700 10.7725
Ba 5.1905 5.1471 3.1984
Ba 1.9949 9.0290 8.9499
Pb -2.3503 0.9747 8.5704
Pb 0.8454 3.7506 2.8190
Pb 0.6557 0.0000 5.7514
Pb 3.8513 4.7254 0.0000
Pb 0.4660 5.7001 8.6839
Pb 3.6616 8.4760 2.9325
O 0.0000 0.0000 0.0000
O -3.1956 4.7254 5.7514
```

Computed properties:
D(E_F) in states/eV/cell: 9.83
Uncorrected formation energy in eV per atom: -0.80
Symmetry: P2_1/c



2.
Here is a relaxed BaPbO2 crystal from the Alexandria database. Energies are from PBE.

The structure in extended XYZ format:
```
4
Lattice="1.9646 1.1343 7.2226 -1.9646 1.1343 7.2226 0.0000 -2.2686 7.2226" Properties=species:S:1:pos:R:3 pbc="T T T"
Ba 0.0000 0.0000 0.0000
Pb 0.0000 0.0000 10.8339
O 0.0000 0.0000 8.6371
O 0.0000 0.0000 13.0306
```

Computed properties:
D(E_F) in states/eV/cell: 0.45
Uncorrected formation energy in eV per atom: -1.46
Symmetry: R-3m



3.
Here is a relaxed Ba3PbO crystal from the Alexandria database. Energies are from PBE.

The structure in extended XYZ format:
```
10
Lattice="11.8733 -2.6848 0.0000 11.8733 2.6848 0.0000 -1.3914 0.0000 5.5835" Properties=species:S:1:pos:R:3 pbc="T T T"
Ba 0.9788 0.0000 1.7283
Ba 2.8083 0.0000 5.1495
Ba 6.5754 0.0000 3.1251
Ba 15.7798 0.0000 2.4584
Ba 19.5469 0.0000 0.4340
Ba 21.3765 0.0000 3.8552
Pb 9.8023 0.0000 0.9612
Pb 12.5530 0.0000 4.6223
O 3.7016 0.0000 2.4087
O 18.6537 0.0000 3.1748
```

Computed properties:
D(E_F) in states/eV/cell: 3.69
Uncorrected formation energy in eV per atom: -1.19
Symmetry: C2/m
E above lowest polymorph in kJ/mol of atoms: 15.6



4.
Here is a relaxed BaPbO4 crystal from the Alexandria database. Energies are from PBE.

The structure in extended XYZ format:
```
12
Lattice="5.2903 0.0000 0.0000 0.0000 5.2903 0.0000 0.0000 0.0000 7.3701" Properties=species:S:1:pos:R:3 pbc="T T T"
Ba 1.3226 3.9677 1.8425
Ba 3.9677 1.3226 5.5276
Pb 1.3226 3.9677 5.5276
Pb 3.9677 1.3226 1.8425
O 0.5722 1.3226 0.4492
O 1.3226 0.5722 4.1342
O 1.3226 2.0729 4.1342
O 2.0729 1.3226 0.4492
O 3.2174 3.9677 6.9209
O 3.9677 3.2174 3.2358
O 3.9677 4.7181 3.2358
O 4.7181 3.9677 6.9209
```

Computed properties:
D(E_F) in states/eV/cell: 0.10
Uncorrected formation energy in eV per atom: -0.92
Symmetry: P4_2/nmc



5.
Here is a relaxed Ba4Pb2O crystal from the Alexandria database. Energies are from PBE.

The structure in extended XYZ format:
```
7
Lattice="2.8542 -8.2196 0.0000 2.8542 8.2196 0.0000 0.0000 0.0000 5.3647" Properties=species:S:1:pos:R:3 pbc="T T T"
Ba 0.0000 0.0000 0.0000
Ba 2.8542 5.4132 2.6823
Ba 2.8542 0.0000 2.6823
Ba 2.8542 -5.4132 2.6823
Pb 2.8542 2.5871 0.0000
Pb 2.8542 -2.5871 0.0000
O 0.0000 0.0000 2.6823
```

Computed properties:
D(E_F) in states/eV/cell: 3.05
Uncorrected formation energy in eV per atom: -1.04
Symmetry: Cmmm
E above lowest polymorph in kJ/mol of atoms: 3.2



6.
Here is a relaxed Ba5Pb2O2 crystal from the Alexandria database. Energies are from PBE.

The structure in extended XYZ format:
```
18
Lattice="-10.9759 3.9489 3.8831 10.9759 -3.9489 3.8831 10.9759 3.9489 -3.8831" Properties=species:S:1:pos:R:3 pbc="T T T"
Ba -5.4879 4.9551 2.8910
Ba 3.1118 -0.1904 2.0366
Ba 7.8640 -0.1904 2.0366
Ba 0.0695 1.9561 0.0000
Ba 10.9064 1.9561 0.0000
Ba 7.8640 4.1392 -1.8465
Ba 14.0877 0.1904 2.0366
Ba 5.4879 2.9426 2.8910
Ba 0.0695 1.9928 3.8831
Ba 10.9064 1.9928 3.8831
Pb -2.3405 3.9152 1.9112
Pb 2.3405 -0.0337 5.7943
Pb 2.3405 3.9825 1.9112
Pb 8.6354 3.9825 1.9112
O 16.4638 -0.6974 1.6204
O 0.0000 0.0000 1.9637
O 10.9759 0.0000 1.9637
O 5.4879 0.6974 1.6204
```

Computed properties:
D(E_F) in states/eV/cell: 14.40
Uncorrected formation energy in eV per atom: -1.34
Symmetry: Ima2



7.
Here is a relaxed Ba7Pb3O2 crystal from the Alexandria database. Energies are from PBE.

The structure in extended XYZ format:
```
12
Lattice="2.8121 -13.8920 0.0000 2.8121 13.8920 0.0000 0.0000 0.0000 5.4206" Properties=species:S:1:pos:R:3 pbc="T T T"
Ba 0.0000 0.0000 0.0000
Ba 2.8121 11.1339 2.7103
Ba 2.8121 8.2677 0.0000
Ba 2.8121 2.8204 0.0000
Ba 2.8121 -2.8204 0.0000
Ba 2.8121 -8.2677 0.0000
Ba 2.8121 -11.1339 2.7103
Pb 2.8121 5.3727 2.7103
Pb 2.8121 0.0000 2.7103
Pb 2.8121 -5.3727 2.7103
O 2.8121 11.0782 0.0000
O 2.8121 -11.0782 0.0000
```

Computed properties:
D(E_F) in states/eV/cell: 7.93
Uncorrected formation energy in eV per atom: -1.16
Symmetry: Cmmm



8.
Here is a relaxed Ba2Pb3O8 crystal from the Alexandria database. Energies are from PBE.

The structure in extended XYZ format:
```
13
Lattice="6.4294 -3.4452 0.0000 6.4294 3.4452 0.0000 -2.0415 0.0000 5.4223" Properties=species:S:1:pos:R:3 pbc="T T T"
Ba 2.4588 0.0000 0.8976
Ba 8.3586 0.0000 4.5247
Pb 5.4087 1.7916 2.7111
Pb 6.4294 0.0000 0.0000
Pb 5.4087 -1.7916 2.7111
O 0.4253 0.0000 2.5778
O 4.9044 1.4900 0.5877
O 5.9129 1.4900 4.8345
O 3.9795 0.0000 3.2105
O 6.8379 0.0000 2.2117
O 4.9044 -1.4900 0.5877
O 5.9129 -1.4900 4.8345
O 10.3920 0.0000 2.8445
```

Computed properties:
Uncorrected formation energy in eV per atom: -1.53
Symmetry: C2/m